(1)
A plane-wave DFT calculation with GGA-PBE was carried out for a geometry-optimized Sc2V2Au structure.

Cell lengths 6.700, 6.700, 4.157 Å; angles 90.00, 90.00, 90.00 degrees
Site moments in Bohr magnetons follow the coordinates.
Fractional coordinates of all 10 atoms:
Sc: 0.824 0.324 0.500  0.01
V: 0.885 0.615 0.000  0.74
V: 0.615 0.115 0.000  0.74
Au: 0.500 0.500 0.000  0.04
V: 0.115 0.385 0.000  0.74
Sc: 0.676 0.824 0.500  0.01
Sc: 0.176 0.676 0.500  0.01
Sc: 0.324 0.176 0.500  0.01
V: 0.385 0.885 0.000  0.74
Au: 0.000 0.000 0.000  0.04

Values from the calculation:
Final energy = -67.884 eV for the cell shown

---

(2)
A plane-wave DFT calculation with GGA-PBE was carried out for a geometry-optimized SiPbCl2 structure.

Cell lengths 5.064, 5.064, 5.064 Å; angles 60.00, 60.00, 60.00 degrees
Fractional coordinates of all 4 atoms:
Si: 0.250 0.250 0.250
Cl: 0.000 0.000 0.000
Pb: 0.500 0.500 0.500
Cl: 0.750 0.750 0.750

Values from the calculation:
E_form (uncorrected) = 0.130 eV per atom
E above lowest polymorph = 0.513 eV/atom
Final energy = -12.303 eV for the cell shown

---

Among the records above, which one has the lowest final energy?
Sc2V2Au

---

The lowest final energy belongs to which entry?
Sc2V2Au